Entry from Alexandria via LeMat-Bulk: crystalline PuVSe3 at its relaxed geometry (PBE).

Geometry as CIF:
```
data_PuVSe3
_symmetry_space_group_name_H-M 'P b c m'
_symmetry_Int_Tables_number 57
_symmetry_space_group_name_Hall '-P 2c 2b'
_cell_length_a 11.2864
_cell_length_b 6.9704
_cell_length_c 5.6759
_cell_angle_alpha 90.00
_cell_angle_beta 90.00
_cell_angle_gamma 90.00
loop_
_atom_site_label
_atom_site_type_symbol
_atom_site_fract_x
_atom_site_fract_y
_atom_site_fract_z
Pu1 Pu 0.1651 0.0430 0.2500
V1 V 0.4259 0.2500 0.0000
Se1 Se 0.0281 0.7500 0.0000
Se2 Se 0.2628 0.0778 0.7500
Se3 Se 0.4174 0.5732 0.7500
```

Results
Final energy   -38.98 eV per formula unit
Formation energy from raw total energies   -97.93 kJ/mol of atoms

***

Entry from Alexandria via LeMat-Bulk: crystalline PuVSe3 at its relaxed geometry (PBE).

Geometry as CIF:
```
data_PuVSe3
_symmetry_space_group_name_H-M 'P 1 21/m 1'
_symmetry_Int_Tables_number 11
_symmetry_space_group_name_Hall '-P 2yb'
_cell_length_a 7.2265
_cell_length_b 3.8843
_cell_length_c 8.0833
_cell_angle_alpha 90.00
_cell_angle_beta 96.13
_cell_angle_gamma 90.00
loop_
_atom_site_label
_atom_site_type_symbol
_atom_site_fract_x
_atom_site_fract_y
_atom_site_fract_z
Pu1 Pu 0.1226 0.2500 0.2850
V1 V 0.3581 0.7500 0.8401
Se1 Se 0.1312 0.2500 0.8959
Se2 Se 0.2247 0.7500 0.5448
Se3 Se 0.4089 0.7500 0.1662
```

Results
Final energy   -39.16 eV per formula unit
Formation energy from raw total energies   -101.37 kJ/mol of atoms

***

Entry from Alexandria via LeMat-Bulk: crystalline PuWSe2 at its relaxed geometry (PBE).

Geometry as CIF:
```
data_PuWSe2
_symmetry_space_group_name_H-M 'R -3 m'
_symmetry_Int_Tables_number 166
_symmetry_space_group_name_Hall '-R 3 2"'
_cell_length_a 3.2896
_cell_length_b 3.2896
_cell_length_c 28.3879
_cell_angle_alpha 90.00
_cell_angle_beta 90.00
_cell_angle_gamma 120.00
loop_
_atom_site_label
_atom_site_type_symbol
_atom_site_fract_x
_atom_site_fract_y
_atom_site_fract_z
Pu1 Pu 0.0000 0.0000 0.0000
W1 W 0.0000 0.0000 0.5000
Se1 Se 0.0000 0.0000 0.1052
```

Results
Final energy   -34.76 eV per formula unit
Formation energy from raw total energies   -12.22 kJ/mol of atoms

***

Question: What is the formula in the second record?
Answer: PuVSe3

***

Question: Among the records above, which one has the lowest formation energy from raw total energies?
Answer: number 2

***

Question: Which of these has the lowest final energy?
Answer: number 2

***

Question: Which of these has the highest final energy?
Answer: PuWSe2